Below is an optimized crystal structure of MgZr2PbN, with properties calculated at the GGA-PBE level.

Results
The value obtained for the polymorph energy (0 for the lowest one) is 241.74 kJ/mol of atoms. Its space-group type is P4/mmm, No. 123. As for the energy relative to the elements, uncorrected: 1.94 eV per atom. The total energy is -21.04 eV/cell. The magnetic moment is 2.5 Bohr magnetons per cell. The calculation puts the density of states at the Fermi level at 0.74 states/eV per atom.

Cell: 5.534 5.115 5.534 Å, 90.00 90.00 90.00°
Each line ends with the local moment (μB).
Fractional positions:
Pb  0.000  0.000  0.000  -0.02
Mg  0.000  0.500  0.000  0.01
Zr  0.000  0.000  0.500  1.23
Zr  0.500  0.000  0.000  1.01
N  0.500  0.500  0.500  -1.08

---

Below is an optimized crystal structure of ZnBiPt2, with properties calculated at the GGA-PBE level.

Results
Its space-group type is P4/mmm, No. 123. The calculation puts the formation energy at -0.241 eV/atom. The total energy is -18.20 eV/cell. The magnetic moment is 0.0 Bohr magnetons per cell. The calculation puts the density of states at the Fermi level at 0.48 states/eV per atom.

Cell: 3.233 3.233 6.969 Å, 90.00 90.00 90.00°
Fractional positions:
Zn  0.500  0.500  0.000
Pt  0.000  0.000  0.205
Pt  0.000  0.000  0.795
Bi  0.500  0.500  0.500

---

Below is an optimized crystal structure of Ca3Sb2H, with properties calculated at the GGA-PBE level.

Results
The value obtained for the polymorph energy (0 for the lowest one) is 0.00 kJ/mol of atoms. Its space-group type is Pnma, No. 62. The total energy is -91.31 eV/cell. The magnetic moment is 0.0 Bohr magnetons per cell. The calculation puts the density of states at the Fermi level at 0.23 states/eV per atom.

Cell: 3.976 9.168 17.752 Å, 90.00 90.00 90.00°
Fractional positions:
Ca  0.250  0.311  0.773
Ca  0.250  0.526  0.394
Ca  0.750  0.474  0.606
Ca  0.750  0.189  0.273
Ca  0.250  0.026  0.106
Ca  0.250  0.117  0.582
Ca  0.250  0.617  0.918
Ca  0.750  0.883  0.418
Ca  0.750  0.974  0.894
Ca  0.750  0.689  0.227
Ca  0.750  0.383  0.082
Ca  0.250  0.811  0.727
H  0.250  0.856  0.864
H  0.250  0.356  0.636
H  0.750  0.144  0.136
H  0.750  0.644  0.364
Sb  0.250  0.926  0.281
Sb  0.750  0.753  0.044
Sb  0.750  0.074  0.719
Sb  0.750  0.574  0.781
Sb  0.250  0.747  0.544
Sb  0.250  0.426  0.219
Sb  0.250  0.247  0.956
Sb  0.750  0.253  0.456

---

Below is an optimized crystal structure of Ac6Tl3Co, with properties calculated at the GGA-PBE level.

Results
The value obtained for the polymorph energy (0 for the lowest one) is 0.00 kJ/mol of atoms. Its space-group type is P2_1/c, No. 14. The calculation puts the formation energy at -0.172 eV/atom. The total energy is -81.14 eV/cell. The magnetic moment is 0.0 Bohr magnetons per cell. The calculation puts the density of states at the Fermi level at 1.23 states/eV per atom.

Cell: 7.251 9.388 11.111 Å, 90.00 84.11 90.00°
Fractional positions:
Ac  0.161  0.347  0.447
Ac  0.615  0.207  0.571
Ac  0.652  0.442  0.271
Ac  0.385  0.793  0.429
Ac  0.152  0.058  0.771
Ac  0.885  0.707  0.929
Ac  0.115  0.293  0.071
Ac  0.839  0.653  0.553
Ac  0.348  0.558  0.729
Ac  0.339  0.847  0.053
Ac  0.848  0.942  0.229
Ac  0.661  0.153  0.947
Tl  0.000  0.000  0.500
Tl  0.500  0.500  0.000
Tl  0.583  0.889  0.735
Tl  0.917  0.389  0.765
Tl  0.417  0.111  0.265
Tl  0.083  0.611  0.235
Co  0.500  0.500  0.500
Co  0.000  0.000  0.000

---

Below is an optimized crystal structure of GdYPtRh, with properties calculated at the GGA-PBE level.

Results
Its space-group type is F-43m, No. 216. The calculation puts the formation energy at -0.998 eV/atom. The total energy is -37.93 eV/cell. The magnetic moment is 7.0 Bohr magnetons per cell. The calculation puts the density of states at the Fermi level at 0.42 states/eV per atom.

Cell: 4.926 4.926 4.926 Å, 60.00 60.00 60.00°
Each line ends with the local moment (μB).
Fractional positions:
Gd  0.000  0.000  0.000  6.98
Y  0.500  0.500  0.500  0.00
Rh  0.250  0.250  0.250  -0.05
Pt  0.750  0.750  0.750  -0.02

---

Below is an optimized crystal structure of ZnGePb2Au6, with properties calculated at the GGA-PBE level.

Results
Its space-group type is P-1, No. 2. The calculation puts the formation energy at -0.037 eV/atom. The total energy is -33.35 eV/cell. The magnetic moment is 0.0 Bohr magnetons per cell. The calculation puts the density of states at the Fermi level at 0.36 states/eV per atom.

Cell: 7.185 7.285 4.478 Å, 72.46 71.97 90.56°
Fractional positions:
Au  0.119  0.206  0.337
Au  0.881  0.794  0.663
Au  0.705  0.590  0.353
Au  0.858  0.362  0.890
Au  0.142  0.638  0.110
Au  0.295  0.410  0.647
Ge  0.000  0.000  0.000
Pb  0.364  0.860  0.389
Pb  0.636  0.140  0.611
Zn  0.500  0.500  0.000